LaTa2Rh | PBE-GGA | optimized geometry

**Total magnetization**: 0.00 μB/f.u.
**Density of states at the Fermi level**: 0.931 states/eV/atom
**Space group**: Immm, No. 71
**Energy of formation from the pure elements**: 112 meV per atom
**DFT total energy**: -8.88 eV/atom

Unit cell a=5.9352 b=5.9352 c=5.9352 alpha=147.22 beta=133.28 gamma=58.24
Closest atoms and distances in Å follow each position.
Sites, in units of the cell vectors:
La1 0.0000 0.5000 0.5000  4 Rh 2.89, 4 Ta 3.21
Ta1 0.7354 0.7354 0.0000  4 Ta 2.90, 2 Rh 2.96, 2 La 3.21
Ta2 0.2646 0.2646 0.0000  4 Ta 2.90, 2 Rh 2.96, 2 La 3.21
Rh1 0.5000 0.0000 0.5000  4 La 2.89, 4 Ta 2.96